1.
Compound: Tb3B7Mo
Source: the Alexandria database
Functional: GGA-PBE
Structure: optimized geometry Values from VASP.

```
&SYSTEM
  ibrav = 0, nat = 22, ntyp = 3
/
ATOMIC_SPECIES
Tb 158.93 Tb.upf
B 10.81 B.upf
Mo 95.94 Mo.upf
ATOMIC_POSITIONS crystal
Tb 0.106 0.894 0.561
Tb 0.106 0.894 0.939
Tb 0.243 0.757 0.250
Tb 0.757 0.243 0.750
Tb 0.894 0.106 0.061
Tb 0.894 0.106 0.439
B 0.273 0.727 0.532
B 0.273 0.727 0.968
B 0.365 0.635 0.648
B 0.365 0.635 0.852
B 0.458 0.542 0.250
B 0.480 0.520 0.592
B 0.480 0.520 0.908
B 0.520 0.480 0.092
B 0.520 0.480 0.408
B 0.542 0.458 0.750
B 0.635 0.365 0.148
B 0.635 0.365 0.352
B 0.727 0.273 0.032
B 0.727 0.273 0.468
Mo 0.054 0.946 0.250
Mo 0.946 0.054 0.750
CELL_PARAMETERS angstrom
1.744 -8.048 0.000
1.744 8.048 0.000
0.000 0.000 9.505
```

Its total energy is -77.722 eV/f.u. Its crystal system is orthorhombic. For the volume, the calculation gives 266.8 Å³ per cell.

---

2.
Compound: TbB6Mo2
Source: the Alexandria database
Functional: GGA-PBE
Structure: optimized geometry Values from VASP.

```
&SYSTEM
  ibrav = 0, nat = 9, ntyp = 3
/
ATOMIC_SPECIES
Tb 158.93 Tb.upf
B 10.81 B.upf
Mo 95.94 Mo.upf
ATOMIC_POSITIONS crystal
Tb 0.000 0.000 0.000
B 0.000 0.341 0.500
B 0.000 0.659 0.500
B 0.341 0.000 0.500
B 0.341 0.341 0.500
B 0.659 0.000 0.500
B 0.659 0.659 0.500
Mo 0.333 0.667 0.000
Mo 0.667 0.333 0.000
CELL_PARAMETERS angstrom
5.378 0.000 0.000
-2.689 4.658 0.000
0.000 0.000 3.514
```

Its total energy is -69.925 eV/f.u. The distance to the lowest polymorph of the same formula is 0.092 eV/atom. Its crystal system is hexagonal. For the volume, the calculation gives 88.0 Å³ per cell.

---

3.
Compound: TbB6Mo2
Source: the Alexandria database
Functional: GGA-PBE
Structure: optimized geometry Values from VASP.

```
&SYSTEM
  ibrav = 0, nat = 9, ntyp = 3
/
ATOMIC_SPECIES
Tb 158.93 Tb.upf
B 10.81 B.upf
Mo 95.94 Mo.upf
ATOMIC_POSITIONS crystal
Tb 0.000 0.000 0.000
B 0.065 0.306 0.759
B 0.331 0.500 0.831
B 0.453 0.694 0.759
B 0.547 0.306 0.241
B 0.669 0.500 0.169
B 0.935 0.694 0.241
Mo 0.346 0.846 0.500
Mo 0.654 0.154 0.500
CELL_PARAMETERS angstrom
-1.572 3.508 4.266
1.572 -3.508 4.266
1.572 3.508 -4.266
```

Its total energy is -70.754 eV/f.u. The distance to the lowest polymorph of the same formula is 0.000 eV/atom. Its crystal system is orthorhombic. For the volume, the calculation gives 94.1 Å³ per cell.

---

4.
Compound: TbB14Mo
Source: the Alexandria database
Functional: GGA-PBE
Structure: optimized geometry Values from VASP.

```
&SYSTEM
  ibrav = 0, nat = 32, ntyp = 3
/
ATOMIC_SPECIES
Tb 158.93 Tb.upf
B 10.81 B.upf
Mo 95.94 Mo.upf
ATOMIC_POSITIONS crystal
Tb 0.375 0.125 0.250
Tb 0.625 0.875 0.750
B 0.009 0.128 0.881
B 0.029 0.206 0.331
B 0.029 0.698 0.823
B 0.091 0.671 0.420
B 0.198 0.530 0.668
B 0.227 0.502 0.405
B 0.227 0.822 0.725
B 0.248 0.329 0.920
B 0.253 0.872 0.381
B 0.362 0.530 0.832
B 0.375 0.206 0.677
B 0.375 0.698 0.169
B 0.403 0.178 0.905
B 0.403 0.498 0.225
B 0.597 0.502 0.775
B 0.597 0.822 0.095
B 0.625 0.302 0.831
B 0.625 0.794 0.323
B 0.638 0.470 0.168
B 0.747 0.128 0.619
B 0.752 0.671 0.080
B 0.773 0.178 0.275
B 0.773 0.498 0.595
B 0.802 0.470 0.332
B 0.909 0.329 0.580
B 0.971 0.302 0.177
B 0.971 0.794 0.669
B 0.991 0.872 0.119
Mo 0.000 0.000 0.500
Mo 0.000 0.500 0.000
CELL_PARAMETERS angstrom
-2.938 5.462 4.096
2.938 -5.462 4.096
2.938 5.462 -4.096
```

Its total energy is -111.047 eV/f.u. Its crystal system is orthorhombic. For the volume, the calculation gives 262.9 Å³ per cell.

---

5.
Compound: TbB2Mo
Source: the Alexandria database
Functional: GGA-PBE
Structure: optimized geometry Values from VASP.

```
&SYSTEM
  ibrav = 0, nat = 4, ntyp = 3
/
ATOMIC_SPECIES
Tb 158.93 Tb.upf
B 10.81 B.upf
Mo 95.94 Mo.upf
ATOMIC_POSITIONS crystal
Tb 0.000 0.000 0.000
B 0.233 0.233 0.233
B 0.767 0.767 0.767
Mo 0.500 0.500 0.500
CELL_PARAMETERS angstrom
1.690 0.976 5.740
-1.690 0.976 5.740
0.000 -1.952 5.740
```

Its total energy is -29.159 eV/f.u. Its crystal system is trigonal. For the volume, the calculation gives 56.8 Å³ per cell.

---

6.
Compound: TcB3Mo
Source: the Alexandria database
Functional: GGA-PBE
Structure: optimized geometry Values from VASP.

```
&SYSTEM
  ibrav = 0, nat = 5, ntyp = 3
/
ATOMIC_SPECIES
Tc 98.00 Tc.upf
B 10.81 B.upf
Mo 95.94 Mo.upf
ATOMIC_POSITIONS crystal
Tc 0.000 0.000 0.000
B 0.000 0.500 0.500
B 0.500 0.000 0.500
B 0.500 0.500 0.000
Mo 0.500 0.500 0.500
CELL_PARAMETERS angstrom
3.984 0.000 0.000
0.000 3.984 0.000
0.000 0.000 3.984
```

Its total energy is -33.453 eV/f.u. The distance to the lowest polymorph of the same formula is 0.323 eV/atom. Its crystal system is cubic. For the volume, the calculation gives 63.2 Å³ per cell.

---

7.
Compound: TcB2Mo
Source: the Alexandria database
Functional: GGA-PBE
Structure: optimized geometry Values from VASP.

```
&SYSTEM
  ibrav = 0, nat = 4, ntyp = 3
/
ATOMIC_SPECIES
Tc 98.00 Tc.upf
B 10.81 B.upf
Mo 95.94 Mo.upf
ATOMIC_POSITIONS crystal
Tc 0.000 0.000 0.000
B 0.250 0.250 0.250
B 0.750 0.750 0.750
Mo 0.500 0.500 0.500
CELL_PARAMETERS angstrom
0.000 2.760 2.760
2.760 0.000 2.760
2.760 2.760 0.000
```

Its total energy is -33.798 eV/f.u. The distance to the lowest polymorph of the same formula is 0.583 eV/atom. Its crystal system is cubic. For the volume, the calculation gives 42.1 Å³ per cell.

---

8.
Compound: TcB2Mo
Source: the Alexandria database
Functional: GGA-PBE
Structure: optimized geometry Values from VASP.

```
&SYSTEM
  ibrav = 0, nat = 16, ntyp = 3
/
ATOMIC_SPECIES
Tc 98.00 Tc.upf
B 10.81 B.upf
Mo 95.94 Mo.upf
ATOMIC_POSITIONS crystal
Tc 0.193 0.250 0.180
Tc 0.307 0.750 0.680
Tc 0.693 0.250 0.320
Tc 0.807 0.750 0.820
B 0.141 0.578 0.972
B 0.141 0.922 0.972
B 0.359 0.078 0.472
B 0.359 0.422 0.472
B 0.641 0.578 0.528
B 0.641 0.922 0.528
B 0.859 0.078 0.028
B 0.859 0.422 0.028
Mo 0.042 0.250 0.690
Mo 0.458 0.750 0.190
Mo 0.542 0.250 0.810
Mo 0.958 0.750 0.310
CELL_PARAMETERS angstrom
5.595 0.000 0.000
0.000 5.150 0.000
0.000 0.000 5.953
```

Its total energy is -35.574 eV/f.u. The distance to the lowest polymorph of the same formula is 0.140 eV/atom. Its crystal system is orthorhombic. For the volume, the calculation gives 171.6 Å³ per cell.

---

9.
Compound: TcB2Mo2
Source: the Alexandria database
Functional: GGA-PBE
Structure: optimized geometry Values from VASP.

```
&SYSTEM
  ibrav = 0, nat = 10, ntyp = 3
/
ATOMIC_SPECIES
Tc 98.00 Tc.upf
B 10.81 B.upf
Mo 95.94 Mo.upf
ATOMIC_POSITIONS crystal
Tc 0.000 0.000 0.000
Tc 0.500 0.500 0.000
B 0.113 0.387 0.000
B 0.387 0.887 0.000
B 0.613 0.113 0.000
B 0.887 0.613 0.000
Mo 0.171 0.671 0.500
Mo 0.329 0.171 0.500
Mo 0.671 0.829 0.500
Mo 0.829 0.329 0.500
CELL_PARAMETERS angstrom
6.002 0.000 0.000
0.000 6.002 0.000
0.000 0.000 3.139
```

Its total energy is -47.210 eV/f.u. The distance to the lowest polymorph of the same formula is 0.005 eV/atom. Its crystal system is tetragonal. For the volume, the calculation gives 113.1 Å³ per cell.

---

10.
Compound: Tc3B2Mo2
Source: the Alexandria database
Functional: GGA-PBE
Structure: optimized geometry Values from VASP.

```
&SYSTEM
  ibrav = 0, nat = 7, ntyp = 3
/
ATOMIC_SPECIES
Tc 98.00 Tc.upf
B 10.81 B.upf
Mo 95.94 Mo.upf
ATOMIC_POSITIONS crystal
Tc 0.000 0.000 0.000
Tc 0.120 0.120 0.440
Tc 0.880 0.880 0.560
B 0.340 0.340 0.782
B 0.660 0.660 0.218
Mo 0.341 0.341 0.197
Mo 0.659 0.659 0.803
CELL_PARAMETERS angstrom
4.616 -1.500 0.000
4.616 1.500 0.000
-2.572 0.000 6.257
```

Its total energy is -68.232 eV/f.u. Its crystal system is monoclinic. For the volume, the calculation gives 86.6 Å³ per cell.

---

Asked for DOS(E_F) across the records above, the calculation gives 3.07 3.94 3.37 4.00 2.07 1.45 3.21 1.92 3.26 3.32 states/eV/f.u. in order.
Asked for formation energy across the records above, the calculation gives -54.9 -38.3 -47.1 -12.7 -8.3 150.1 18.2 -24.7 -35.3 -29.2 kJ per mole of atoms in order.
Asked for magnetic moment across the records above, the calculation gives 0.00 0.00 0.00 0.00 0.00 0.00 0.00 0.00 0.00 0.00 μB per atom in order.